1.
Below is SiNiTe2 at its PBEsol-relaxed geometry, with properties calculated at the meta-GGA SCAN level.

a = 3.315 Å, b = 3.315 Å, c = 6.963 Å
α = 90.00°, β = 90.00°, γ = 90.00°
Element x y z (fractional)
Si: 0.000 0.000 0.000
Ni: 0.000 0.000 0.500
Te: 0.500 0.500 0.274
Te: 0.500 0.500 0.726

Summary:
Total magnetic moment = 0.000 μB per atom
Fermi-level density of states = 2.5 states/eV/f.u.
E_form (uncorrected) = 0.547 eV/atom
Symmetry = P4/mmm, No. 123

2.
Below is TiPd3 at its PBEsol-relaxed geometry, with properties calculated at the meta-GGA SCAN level.

a = 5.477 Å, b = 5.477 Å, c = 4.439 Å
α = 90.00°, β = 90.00°, γ = 120.00°
Element x y z (fractional)
Ti: 0.333 0.667 0.250
Ti: 0.667 0.333 0.750
Pd: 0.167 0.334 0.750
Pd: 0.167 0.833 0.750
Pd: 0.334 0.167 0.250
Pd: 0.666 0.833 0.750
Pd: 0.833 0.167 0.250
Pd: 0.833 0.666 0.250

Summary:
Total magnetic moment = 0.000 μB per atom
Fermi-level density of states = 1.2 states/eV/f.u.
Energy of formation from the pure elements = -683 meV/atom
Symmetry = P6_3/mmc, No. 194

3.
Below is Sc2FeSnB at its PBEsol-relaxed geometry, with properties calculated at the meta-GGA SCAN level.

a = 4.552 Å, b = 4.552 Å, c = 4.306 Å
α = 90.00°, β = 90.00°, γ = 90.00°
Element x y z (fractional)
Sc: 0.000 0.500 0.000
Sc: 0.500 0.000 0.000
Fe: 0.000 0.000 0.500
Sn: 0.500 0.500 0.500
B: 0.500 0.500 0.000

Summary:
Total magnetic moment = 0.497 μB per atom
Fermi-level density of states = 3.2 states/eV/f.u.
Energy of formation from the pure elements = 114 meV/atom
Symmetry = P4/mmm, No. 123

4.
Below is CuAsP at its PBEsol-relaxed geometry, with properties calculated at the meta-GGA SCAN level.

a = 5.875 Å, b = 5.875 Å, c = 5.875 Å
α = 90.00°, β = 90.00°, γ = 90.00°
Element x y z (fractional)
Cu: 0.000 0.000 0.000
Cu: 0.000 0.500 0.500
Cu: 0.500 0.000 0.500
Cu: 0.500 0.500 0.000
As: 0.000 0.000 0.500
As: 0.000 0.500 0.000
As: 0.500 0.000 0.000
As: 0.500 0.500 0.500
P: 0.250 0.250 0.750
P: 0.250 0.750 0.250
P: 0.750 0.250 0.250
P: 0.750 0.750 0.750

Summary:
Total magnetic moment = 0.000 μB per atom
Fermi-level density of states = 1.6 states/eV/f.u.
Distance to the lowest polymorph of the same formula = 0 meV per atom
Energy of formation from the pure elements = 492 meV/atom
Symmetry = F-43m, No. 216